# PBE TaCrFeMo, optimized geometry
data_TaCrFeMo
_chemical_formula_sum 'Ta1 Cr1 Fe1 Mo1'
_space_group_name_H-M_alt 'P 1'
_space_group_IT_number 1
_cell_length_a 4.304
_cell_length_b 4.304
_cell_length_c 4.304
_cell_angle_alpha 60.00
_cell_angle_beta 60.00
_cell_angle_gamma 60.00
loop_
_space_group_symop_operation_xyz
'x,y,z'
loop_
_atom_site_label
_atom_site_type_symbol
_atom_site_fract_x
_atom_site_fract_y
_atom_site_fract_z
_atom_site_occupancy
Ta1 Ta 0.000 0.000 0.000 1
Cr1 Cr 0.750 0.750 0.750 1
Fe1 Fe 0.250 0.250 0.250 1
Mo1 Mo 0.500 0.500 0.500 1
# N(E_F): 4.38 states/eV/f.u.
# DFT total energy: -10.167 eV/atom
# magnetization: 1.06 μB/cell